Arrangement 1

Density functional theory data (PBE) for a geometry-optimized PmPuPt2 structure.

Lattice parameters (Å, degrees): 4.4087 5.7933 5.7933 39.17 90.00 90.00
With the nearest neighbours (Å) after each atom.
Positions (direct):
1 Pm 0.0000 0.0000 0.0000  7 Pt 2.94-3.18
2 Pu 0.5000 0.2761 0.2761  7 Pt 2.98-3.13
3 Pt 0.0000 0.7304 0.7304  3 Pm 2.94-3.18, 2 Pt 2.95, 4 Pu 2.98
4 Pt 0.5000 0.5511 0.5511  2 Pt 2.95, 4 Pm 2.99, 3 Pu 3.00-3.13

Properties
DOS at the Fermi energy: 12.864 states/eV/f.u.
Volume: 23.365 A^3/atom
SG: Amm2

Arrangement 2

Density functional theory data (PBE) for a geometry-optimized PmPuPt2 structure.

Lattice parameters (Å, degrees): 5.0359 5.0359 3.5246 90.00 90.00 90.00
With the nearest neighbours (Å) after each atom.
Positions (direct):
1 Pm 0.0000 0.0000 0.0000  8 Pt 3.07
2 Pu 0.5000 0.5000 0.0000  8 Pt 3.07
3 Pt 0.0000 0.5000 0.5000  4 Pm 3.07, 4 Pu 3.07
4 Pt 0.5000 0.0000 0.5000  4 Pm 3.07, 4 Pu 3.07

Properties
DOS at the Fermi energy: 11.769 states/eV/f.u.
Volume: 22.346 A^3/atom
SG: P4/mmm

Arrangement 3

Density functional theory data (PBE) for a geometry-optimized PmPuPt2 structure.

Lattice parameters (Å, degrees): 7.3198 7.3198 7.3198 32.46 32.46 32.46
With the nearest neighbours (Å) after each atom.
Positions (direct):
1 Pm 0.0000 0.0000 0.0000  6 Pt 2.93-3.02
2 Pu 0.1719 0.1719 0.1719  6 Pt 2.87-2.91
3 Pt 0.5833 0.5833 0.5833  3 Pu 2.87, 3 Pm 2.93
4 Pt 0.7570 0.7570 0.7570  3 Pu 2.91, 3 Pm 3.02

Properties
DOS at the Fermi energy: 11.455 states/eV/f.u.
Volume: 25.115 A^3/atom
SG: R3m

Question: of the structures shown, which is the most stable? Reply: arrangement 1.